Entry 1:
Entry from Alexandria: crystalline IrRh2 at its relaxed geometry (PBE-GGA).

abc: 9.4167 9.4167 9.4167
angles: 163.57 156.52 28.79
With the nearest neighbours (Å) after each atom.
Atoms (fractional coordinates):
Ir 0.3679 0.1179 0.2500  8 Rh 2.68, 2 Ir 2.69
Ir 0.6321 0.8821 0.7500  8 Rh 2.68, 2 Ir 2.69
Rh 0.0604 0.3104 0.7500  5 Rh 2.58-2.69, 4 Ir 2.68
Rh 0.2035 0.4535 0.7500  5 Rh 2.56-2.69, 4 Ir 2.68
Rh 0.7965 0.5465 0.2500  5 Rh 2.56-2.69, 4 Ir 2.68
Rh 0.9396 0.6896 0.2500  5 Rh 2.58-2.69, 4 Ir 2.68

ΔE to the lowest computed polymorph in meV per atom: 320
Formation energy in eV/atom: 0.307

Entry 2:
Entry from Alexandria: crystalline Sm2P2Pd at its relaxed geometry (PBE-GGA).

abc: 5.7894 5.7894 10.2467
angles: 111.66 111.66 41.71
With the nearest neighbours (Å) after each atom.
Atoms (fractional coordinates):
Sm 0.0927 0.0927 0.4039  4 P 2.84-3.01, 2 Pd 3.08
Sm 0.3018 0.3018 0.8521  7 P 3.00-3.18, 4 Pd 3.08-3.13
Sm 0.6982 0.6982 0.1479  7 P 3.00-3.18, 4 Pd 3.08-3.13
Sm 0.9073 0.9073 0.5961  4 P 2.84-3.01, 2 Pd 3.08
P 0.0424 0.0424 0.9149  1 P 2.27, 2 Pd 2.36
P 0.3404 0.3404 0.3684  1 Pd 2.45
P 0.6596 0.6596 0.6316  1 Pd 2.45
P 0.9576 0.9576 0.0851  1 P 2.27, 2 Pd 2.36
Pd 0.4258 0.4258 0.1797  3 P 2.36-2.45
Pd 0.5742 0.5742 0.8203  3 P 2.36-2.45

Formation energy in eV/atom: -1.211

Entry 3:
Entry from Alexandria: crystalline HfMgTa2Ru at its relaxed geometry (PBE-GGA).

abc: 4.8570 4.8570 5.0396
angles: 90.00 90.00 90.00
With the nearest neighbours (Å) after each atom.
Atoms (fractional coordinates):
Hf 0.0000 0.0000 0.0000  4 Ta 2.43, 2 Mg 2.52
Mg 0.0000 0.0000 0.5000  2 Hf 2.52
Ta 0.0000 0.5000 0.0000  2 Hf 2.43
Ta 0.5000 0.0000 0.0000  2 Hf 2.43
Ru 0.5000 0.5000 0.5000  4 Mg 3.43, 8 Ta 3.50

Formation energy in eV/atom: 2.074

Entry 4:
Entry from Alexandria: crystalline PbWN3 at its relaxed geometry (PBE-GGA).

abc: 4.1301 4.1301 4.1301
angles: 90.00 90.00 90.00
With the nearest neighbours (Å) after each atom.
Atoms (fractional coordinates):
Pb 0.0000 0.0000 0.0000  6 N 2.07
W 0.5000 0.5000 0.5000  12 N 2.92
N 0.0000 0.0000 0.5000  2 Pb 2.07
N 0.0000 0.5000 0.0000  2 Pb 2.07
N 0.5000 0.0000 0.0000  2 Pb 2.07

Energy relative to the elements, uncorrected in eV/atom: 2.831

Entry 5:
Entry from Alexandria: crystalline Ba2HgAsH at its relaxed geometry (PBE-GGA).

abc: 5.4682 5.4682 4.6350
angles: 90.00 90.00 90.00
With the nearest neighbours (Å) after each atom.
Atoms (fractional coordinates):
Ba 0.0000 0.5000 0.0000  2 H 2.73
Ba 0.5000 0.0000 0.0000  2 H 2.73
Hg 0.0000 0.0000 0.5000  2 H 2.32
As 0.5000 0.5000 0.5000  8 Ba 3.58, 4 Hg 3.87
H 0.0000 0.0000 0.0000  2 Hg 2.32

Uncorrected energy in eV/atom: -3.03

Entry 6:
Entry from Alexandria: crystalline NaVI2 at its relaxed geometry (PBE-GGA).

abc: 8.3056 8.3056 8.3056
angles: 131.71 131.71 70.69
With the nearest neighbours (Å) after each atom.
Atoms (fractional coordinates):
Na 0.0000 0.0000 0.0000  4 I 3.10
Na 0.7500 0.2500 0.5000  4 I 3.10
V 0.2500 0.7500 0.5000  4 I 2.80
V 0.5000 0.5000 0.0000  4 I 2.80
I 0.1638 0.6250 0.0388  2 V 2.80, 2 Na 3.10
I 0.3750 0.4138 0.5388  2 V 2.80, 2 Na 3.10
I 0.5862 0.1250 0.9612  2 V 2.80, 2 Na 3.10
I 0.8750 0.8362 0.4612  2 V 2.80, 2 Na 3.10

ΔE to the lowest computed polymorph in meV per atom: 0
Energy relative to the elements, uncorrected in eV/atom: -0.272

Entry 7:
Entry from Alexandria: crystalline RbTl2TeS4 at its relaxed geometry (PBE-GGA).

abc: 8.3738 8.3738 8.2928
angles: 117.67 117.67 89.39
With the nearest neighbours (Å) after each atom.
Atoms (fractional coordinates):
Rb 0.0000 0.0000 0.0000  4 S 3.15-3.18
Rb 0.0000 0.0000 0.5000  4 S 3.15-3.18
Tl 0.0000 0.5000 0.0000  6 S 3.04-3.29
Tl 0.5000 0.0000 0.5000  6 S 3.04-3.29
Tl 0.5000 0.5000 0.0000  6 S 2.78-2.84
Tl 0.5000 0.5000 0.5000  6 S 2.78-2.84
Te 0.0000 0.5000 0.5000  4 S 2.68-2.75
Te 0.5000 0.0000 0.0000  4 S 2.68-2.75
S 0.2326 0.7008 0.4827  1 Te 2.68, 1 Tl 2.78
S 0.2719 0.3100 0.5587  1 Te 2.75, 2 Tl 2.78-2.84
S 0.2992 0.7674 0.0173  1 Te 2.68, 1 Tl 2.78
S 0.3100 0.2719 0.0587  1 Te 2.75, 2 Tl 2.78-2.84
S 0.6900 0.7281 0.9413  1 Te 2.75, 2 Tl 2.78-2.84
S 0.7008 0.2326 0.9827  1 Te 2.68, 1 Tl 2.78
S 0.7281 0.6900 0.4413  1 Te 2.75, 2 Tl 2.78-2.84
S 0.7674 0.2992 0.5173  1 Te 2.68, 1 Tl 2.78

Energy relative to the elements, uncorrected in eV/atom: -0.269

Entry 8:
Entry from Alexandria: crystalline Hf2TaVFe at its relaxed geometry (PBE-GGA).

abc: 4.7771 4.7771 4.2077
angles: 90.00 90.00 90.00
With the nearest neighbours (Å) after each atom.
Atoms (fractional coordinates):
Hf 0.0000 0.5000 0.0000  2 Fe 2.39
Hf 0.5000 0.0000 0.0000  2 Fe 2.39
Ta 0.0000 0.0000 0.5000  8 Hf 3.18, 4 V 3.38
V 0.5000 0.5000 0.5000  2 Fe 2.10
Fe 0.5000 0.5000 0.0000  2 V 2.10

ΔE to the lowest computed polymorph in meV per atom: 0
Formation energy in eV/atom: 0.598